Entry from the Alexandria database: an optimized crystal structure of LiNd2PuTe5 (GGA-PBE).

Values from the calculation:
**Formation energy (no corrections)**: -1.195 eV/atom
**Space group**: Cmc2_1 (36)

a b c (Å): 4.432 9.625 13.271
angles (deg): 90.00 90.00 103.31
Last column: magnetic moment on the atom in μB.
Sites, in units of the cell vectors:
Li (0.556, 0.111, 0.964)  -0.01
Li (0.444, 0.889, 0.464)  -0.01
Nd (0.873, 0.747, 0.803)  0.02
Nd (0.107, 0.215, 0.685)  0.00
Nd (0.127, 0.253, 0.303)  0.02
Nd (0.893, 0.785, 0.185)  0.00
Pu (0.800, 0.599, 0.507)  5.21
Pu (0.200, 0.401, 0.007)  5.21
Te (0.366, 0.732, 0.999)  -0.04
Te (0.687, 0.375, 0.844)  -0.07
Te (0.498, 0.996, 0.781)  -0.03
Te (0.285, 0.571, 0.668)  -0.07
Te (0.952, 0.904, 0.574)  -0.08
Te (0.634, 0.268, 0.499)  -0.04
Te (0.313, 0.625, 0.344)  -0.07
Te (0.502, 0.004, 0.281)  -0.03
Te (0.715, 0.429, 0.168)  -0.07
Te (0.048, 0.096, 0.074)  -0.08

Entry from the Alexandria database: an optimized crystal structure of TlTcB2C (GGA-PBE).

Values from the calculation:
**Energy of formation**: 2157 meV/atom
**Space group**: P4/mmm (123)

a b c (Å): 3.648 4.855 3.648
angles (deg): 90.00 90.00 90.00
Sites, in units of the cell vectors:
C (0.000, 0.000, 0.000)
Tl (0.000, 0.500, 0.000)
B (0.000, 0.000, 0.500)
B (0.500, 0.000, 0.000)
Tc (0.500, 0.500, 0.500)

Entry from the Alexandria database: an optimized crystal structure of LaScMo3 (GGA-PBE).

Values from the calculation:
**Energy of formation**: 1835 meV/atom
**Space group**: Pm-3m (221)

a b c (Å): 4.812 4.812 4.812
angles (deg): 90.00 90.00 90.00
Sites, in units of the cell vectors:
Sc (0.500, 0.500, 0.500)
Mo (0.000, 0.500, 0.000)
Mo (0.000, 0.000, 0.500)
Mo (0.500, 0.000, 0.000)
La (0.000, 0.000, 0.000)

Entry from the Alexandria database: an optimized crystal structure of La3NbV (GGA-PBE).

Values from the calculation:
**Energy of formation**: 826 meV/atom
**Space group**: Pm-3m (221)
**Excess energy over the best structure of this formula in the dataset**: 0.00 eV per formula unit

a b c (Å): 5.574 5.574 5.574
angles (deg): 90.00 90.00 90.00
Last column: magnetic moment on the atom in μB.
Sites, in units of the cell vectors:
Nb (0.000, 0.000, 0.000)  0.24
La (0.000, 0.500, 0.000)  0.10
La (0.000, 0.000, 0.500)  0.10
La (0.500, 0.000, 0.000)  0.10
V (0.500, 0.500, 0.500)  3.03

Entry from the Alexandria database: an optimized crystal structure of LaGd2Fe (GGA-PBE).

Values from the calculation:
**Energy of formation**: 79 meV/atom
**Space group**: P4/mmm (123)
**Excess energy over the best structure of this formula in the dataset**: 0.00 eV per formula unit

a b c (Å): 3.463 3.463 9.216
angles (deg): 90.00 90.00 90.00
Last column: magnetic moment on the atom in μB.
Sites, in units of the cell vectors:
Gd (0.000, 0.000, 0.822)  7.24
Gd (0.000, 0.000, 0.178)  7.24
Fe (0.500, 0.500, 0.000)  -1.92
La (0.500, 0.500, 0.500)  -0.06

Please write out number 4 again, unchanged.
Entry from the Alexandria database: an optimized crystal structure of La3NbV (GGA-PBE).

Values from the calculation:
**Energy of formation**: 826 meV/atom
**Space group**: Pm-3m (221)
**Excess energy over the best structure of this formula in the dataset**: 0.00 eV per formula unit

a b c (Å): 5.574 5.574 5.574
angles (deg): 90.00 90.00 90.00
Last column: magnetic moment on the atom in μB.
Sites, in units of the cell vectors:
Nb (0.000, 0.000, 0.000)  0.24
La (0.000, 0.500, 0.000)  0.10
La (0.000, 0.000, 0.500)  0.10
La (0.500, 0.000, 0.000)  0.10
V (0.500, 0.500, 0.500)  3.03

Repeat the second record exactly.
Entry from the Alexandria database: an optimized crystal structure of TlTcB2C (GGA-PBE).

Values from the calculation:
**Energy of formation**: 2157 meV/atom
**Space group**: P4/mmm (123)

a b c (Å): 3.648 4.855 3.648
angles (deg): 90.00 90.00 90.00
Sites, in units of the cell vectors:
C (0.000, 0.000, 0.000)
Tl (0.000, 0.500, 0.000)
B (0.000, 0.000, 0.500)
B (0.500, 0.000, 0.000)
Tc (0.500, 0.500, 0.500)